[1]
Material: Ta2C
Method: DFT, GGA-PBEsol
State: optimized geometry

Cell lengths 5.173, 5.173, 7.461 Å; angles 128.38, 128.38, 33.90 degrees
Fractional coordinates of all 6 atoms:
Ta: 0.073 0.073 0.386
Ta: 0.213 0.213 0.142
Ta: 0.787 0.787 0.858
Ta: 0.927 0.927 0.614
C: 0.426 0.426 0.120
C: 0.574 0.574 0.880

Output
- E_tot (eV/cell) = -70.75
- space group = No. 12

---

[2]
Material: TaC
Method: DFT, GGA-PBEsol
State: optimized geometry

Cell lengths 4.661, 4.661, 5.634 Å; angles 90.00, 90.00, 120.00 degrees
Fractional coordinates of all 8 atoms:
Ta: 0.000 0.000 0.250
Ta: 0.000 0.000 0.750
Ta: 0.333 0.667 0.250
Ta: 0.667 0.333 0.750
C: 0.333 0.667 0.631
C: 0.333 0.667 0.869
C: 0.667 0.333 0.131
C: 0.667 0.333 0.369

Output
- E_tot (eV/cell) = -78.30
- space group = No. 194

---

[3]
Material: TaC
Method: DFT, GGA-PBEsol
State: optimized geometry

Cell lengths 3.142, 3.142, 3.142 Å; angles 60.00, 60.00, 60.00 degrees
Fractional coordinates of all 2 atoms:
Ta: 0.000 0.000 0.000
C: 0.500 0.500 0.500

Output
- E_tot (eV/cell) = -23.53
- space group = No. 225

---

[4]
Material: Ta2C
Method: DFT, GGA-PBEsol
State: optimized geometry

Cell lengths 4.884, 5.476, 3.048 Å; angles 90.00, 90.00, 90.00 degrees
Fractional coordinates of all 6 atoms:
Ta: 0.241 0.156 0.000
Ta: 0.259 0.656 0.500
Ta: 0.741 0.344 0.500
Ta: 0.759 0.844 0.000
C: 0.000 0.500 0.000
C: 0.500 0.000 0.500

Output
- E_tot (eV/cell) = -73.21
- space group = No. 58